1.
The following is a DFT calculation (PBE) of crystalline LaMo2Se at its relaxed geometry.

CIF file:
```
data_LaMo2Se
_symmetry_space_group_name_H-M 'P 4 m m'
_symmetry_Int_Tables_number 99
_symmetry_space_group_name_Hall 'P 4 -2'
_cell_length_a 3.324
_cell_length_b 3.324
_cell_length_c 7.316
_cell_angle_alpha 90.00
_cell_angle_beta 90.00
_cell_angle_gamma 90.00
loop_
_atom_site_label
_atom_site_type_symbol
_atom_site_fract_x
_atom_site_fract_y
_atom_site_fract_z
La1 La 0.000 0.000 0.000
Mo1 Mo 0.000 0.000 0.481
Mo2 Mo 0.500 0.500 0.299
Se1 Se 0.500 0.500 0.688
```

Formation energy (no corrections) ... -0.096 eV/atom

***

2.
The following is a DFT calculation (PBE) of crystalline Ba3GeSb at its relaxed geometry.

CIF file:
```
data_Ba3GeSb
_symmetry_space_group_name_H-M 'P m -3 m'
_symmetry_Int_Tables_number 221
_symmetry_space_group_name_Hall '-P 4 2 3'
_cell_length_a 6.206
_cell_length_b 6.206
_cell_length_c 6.206
_cell_angle_alpha 90.00
_cell_angle_beta 90.00
_cell_angle_gamma 90.00
loop_
_atom_site_label
_atom_site_type_symbol
_atom_site_fract_x
_atom_site_fract_y
_atom_site_fract_z
Ba1 Ba 0.000 0.000 0.500
Ge1 Ge 0.000 0.000 0.000
Sb1 Sb 0.500 0.500 0.500
```

Energy above the most stable polymorph in this dataset ... 0.265 eV per atom
Formation energy (no corrections) ... -0.427 eV/atom

***

3.
The following is a DFT calculation (PBE) of crystalline Rb3U3Te8Au at its relaxed geometry.

CIF file:
```
data_Rb3U3Te8Au
_symmetry_space_group_name_H-M 'C 1 2/m 1'
_symmetry_Int_Tables_number 12
_symmetry_space_group_name_Hall '-C 2y'
_cell_length_a 14.654
_cell_length_b 9.455
_cell_length_c 9.596
_cell_angle_alpha 90.00
_cell_angle_beta 116.79
_cell_angle_gamma 90.00
loop_
_atom_site_label
_atom_site_type_symbol
_atom_site_fract_x
_atom_site_fract_y
_atom_site_fract_z
Rb1 Rb 0.000 0.000 0.000
Rb2 Rb 0.250 0.250 0.000
U1 U 0.000 0.500 0.500
U2 U 0.250 0.250 0.500
Te1 Te 0.027 0.285 0.286
Te2 Te 0.204 0.000 0.675
Te3 Te 0.235 0.500 0.702
Au1 Au 0.000 0.000 0.500
```

Formation energy (no corrections) ... -0.696 eV/atom

***

4.
The following is a DFT calculation (PBE) of crystalline Fe2Ni7Pd2 at its relaxed geometry.

CIF file:
```
data_Fe2Ni7Pd2
_symmetry_space_group_name_H-M 'P -1'
_symmetry_Int_Tables_number 2
_symmetry_space_group_name_Hall '-P 1'
_cell_length_a 4.436
_cell_length_b 4.443
_cell_length_c 6.823
_cell_angle_alpha 89.76
_cell_angle_beta 84.06
_cell_angle_gamma 80.24
loop_
_atom_site_label
_atom_site_type_symbol
_atom_site_fract_x
_atom_site_fract_y
_atom_site_fract_z
Fe1 Fe 0.168 0.140 0.278
Ni1 Ni 0.000 0.500 0.000
Ni2 Ni 0.095 0.314 0.627
Ni3 Ni 0.259 0.962 0.906
Ni4 Ni 0.360 0.783 0.546
Pd1 Pd 0.452 0.595 0.188
```

ΔH_f (0 K) ... -0.2 eV/f.u.

***

5.
The following is a DFT calculation (PBE) of crystalline PuReSi2Os at its relaxed geometry.

CIF file:
```
data_PuReSi2Os
_symmetry_space_group_name_H-M 'I -4 m 2'
_symmetry_Int_Tables_number 119
_symmetry_space_group_name_Hall 'I -4 -2'
_cell_length_a 4.105
_cell_length_b 4.105
_cell_length_c 10.107
_cell_angle_alpha 90.00
_cell_angle_beta 90.00
_cell_angle_gamma 90.00
loop_
_atom_site_label
_atom_site_type_symbol
_atom_site_fract_x
_atom_site_fract_y
_atom_site_fract_z
Pu1 Pu 0.000 0.000 0.000
Re1 Re 0.000 0.500 0.750
Si1 Si 0.000 0.000 0.379
Os1 Os 0.000 0.500 0.250
```

Formation energy (no corrections) ... -0.417 eV/atom

***

6.
The following is a DFT calculation (PBE) of crystalline Sr2Zr4Sn at its relaxed geometry.

CIF file:
```
data_Sr2Zr4Sn
_symmetry_space_group_name_H-M 'I 4/m m m'
_symmetry_Int_Tables_number 139
_symmetry_space_group_name_Hall '-I 4 2'
_cell_length_a 5.358
_cell_length_b 5.358
_cell_length_c 17.732
_cell_angle_alpha 90.00
_cell_angle_beta 90.00
_cell_angle_gamma 90.00
loop_
_atom_site_label
_atom_site_type_symbol
_atom_site_fract_x
_atom_site_fract_y
_atom_site_fract_z
Sr1 Sr 0.000 0.000 0.144
Zr1 Zr 0.000 0.000 0.347
Zr2 Zr 0.000 0.500 0.000
Sn1 Sn 0.000 0.000 0.500
```

ΔH_f (0 K) ... 6.5 eV/f.u.

***

7.
The following is a DFT calculation (PBE) of crystalline Ta2NiRh at its relaxed geometry.

CIF file:
```
data_Ta2NiRh
_symmetry_space_group_name_H-M 'I -4 m 2'
_symmetry_Int_Tables_number 119
_symmetry_space_group_name_Hall 'I -4 -2'
_cell_length_a 3.820
_cell_length_b 3.820
_cell_length_c 8.454
_cell_angle_alpha 90.00
_cell_angle_beta 90.00
_cell_angle_gamma 90.00
loop_
_atom_site_label
_atom_site_type_symbol
_atom_site_fract_x
_atom_site_fract_y
_atom_site_fract_z
Ta1 Ta 0.000 0.000 0.000
Ta2 Ta 0.000 0.500 0.250
Ni1 Ni 0.000 0.500 0.750
Rh1 Rh 0.000 0.000 0.500
```

ΔH_f (0 K) ... -0.8 eV/f.u.

***

8.
The following is a DFT calculation (PBE) of crystalline RbLi2I3O9 at its relaxed geometry.

CIF file:
```
data_RbLi2I3O9
_symmetry_space_group_name_H-M 'P 1 21/c 1'
_symmetry_Int_Tables_number 14
_symmetry_space_group_name_Hall '-P 2ybc'
_cell_length_a 8.398
_cell_length_b 11.407
_cell_length_c 11.459
_cell_angle_alpha 90.00
_cell_angle_beta 110.86
_cell_angle_gamma 90.00
loop_
_atom_site_label
_atom_site_type_symbol
_atom_site_fract_x
_atom_site_fract_y
_atom_site_fract_z
Rb1 Rb 0.214 0.044 0.160
Li1 Li 0.129 0.217 0.860
Li2 Li 0.481 0.708 0.653
I1 I 0.088 0.686 0.953
I2 I 0.268 0.554 0.313
I3 I 0.419 0.132 0.561
O1 O 0.032 0.734 0.304
O2 O 0.102 0.228 0.513
O3 O 0.144 0.540 0.146
O4 O 0.146 0.044 0.876
O5 O 0.239 0.708 0.551
O6 O 0.364 0.207 0.410
O7 O 0.366 0.578 0.918
O8 O 0.449 0.041 0.819
O9 O 0.480 0.243 0.170
```

Formation energy (no corrections) ... -0.968 eV/atom

***

Number 1: total DFT energy (no corrections) -7.615 eV per atom. Number 2: total DFT energy (no corrections) -3.329 eV per atom. Number 3: total DFT energy (no corrections) -5.041 eV per atom. Number 4: total DFT energy (no corrections) -6.183 eV per atom. Number 5: total DFT energy (no corrections) -10.188 eV per atom. Number 6: total DFT energy (no corrections) -5.013 eV per atom. Number 7: total DFT energy (no corrections) -9.408 eV per atom. Number 8: total DFT energy (no corrections) -4.573 eV per atom.